## Fe4Ni12Os (PBE)

Data for a geometry-optimized Fe4Ni12Os structure.

Properties
**Total moment**: 39.272 μB per cell
**Formation enthalpy at 0 K**: 243 meV per atom
**DFT total energy**: -6.4902 eV/atom

Cell and atoms, written as CIF:
```
data_Fe4Ni12Os
_cell_length_a 7.4491
_cell_length_b 7.4491
_cell_length_c 7.4491
_cell_angle_alpha 90.00
_cell_angle_beta 90.00
_cell_angle_gamma 90.00
_symmetry_space_group_name_H-M 'I m -3 m'
_symmetry_Int_Tables_number 229
_symmetry_space_group_name_Hall '-I 4 2 3'
loop_
_atom_site_label
_atom_site_type_symbol
_atom_site_fract_x
_atom_site_fract_y
_atom_site_fract_z
Fe1 Fe 0.2500 0.2500 0.2500
Ni1 Ni 0.0000 0.0000 0.3082
Ni2 Ni 0.0000 0.2500 0.5000
Os1 Os 0.0000 0.0000 0.0000
```